## 1
This record from the Alexandria database describes a relaxed IrW2Se crystal. The functional is GGA-PBE.

Summary:
Magnetization in μB/atom: 0.00

Unit cell a=3.0367 b=4.5296 c=4.6648 alpha=90.00 beta=90.00 gamma=90.00
With the nearest neighbours (Å) after each atom.
Space group Pmmm (No. 47)
Asymmetric unit:
Ir  0.0000  0.0000  0.0000 x1  4 Se 2.73, 4 W 2.78, 2 Ir 3.04
W  0.0000  0.5000  0.5000 x1  6 W 2.73-3.04, 4 Se 2.78
W  0.5000  0.0000  0.5000 x1  6 W 2.73-3.04, 4 Ir 2.78
Se  0.5000  0.5000  0.0000 x1  4 Ir 2.73, 4 W 2.78, 2 Se 3.04

---

## 2
This record from the Alexandria database describes a relaxed IrW2Se crystal. The functional is GGA-PBE.

Summary:
Magnetization in μB/atom: 0.00

Unit cell a=2.9652 b=2.9652 c=6.9652 alpha=90.00 beta=90.00 gamma=90.00
With the nearest neighbours (Å) after each atom.
Space group P4/mmm (No. 123)
Asymmetric unit:
Ir  0.0000  0.0000  0.0000 x1  8 W 2.79, 4 Ir 2.97
W  0.5000  0.5000  0.2647 x2  4 Se 2.66, 4 Ir 2.79, 4 W 2.97
Se  0.0000  0.0000  0.5000 x1  8 W 2.66, 4 Se 2.97

---

## 3
This record from the Alexandria database describes a relaxed IrW2Se crystal. The functional is GGA-PBE.

Summary:
Magnetization in μB/atom: 0.00

Unit cell a=3.9236 b=3.9236 c=8.2832 alpha=90.00 beta=90.00 gamma=90.00
With the nearest neighbours (Å) after each atom.
Space group I-4m2 (No. 119)
Asymmetric unit:
Ir  0.0000  0.0000  0.0000 x2  8 W 2.77-2.85, 4 Se 2.85
W  0.0000  0.0000  0.5000 x2  4 Ir 2.77, 4 Se 2.85, 4 W 2.85
W  0.0000  0.5000  0.2500 x2  4 Se 2.77, 4 Ir 2.85, 4 W 2.85
Se  0.0000  0.5000  0.7500 x2  8 W 2.77-2.85, 4 Ir 2.85

---

Most stable: 2. Least stable: 3.